Density functional theory data (GGA+U) for MnCo3O after structural relaxation.

Results
**E_tot**: -3.329 eV/atom
**D(E_F)**: 1.053 states/eV per atom
**SG**: Pm-3m (221)
**Polymorph energy (0 for the lowest one)**: 2.010 eV per atom

The structure in POSCAR format:
```
MnCo3O
1.0
4.3640 0.0000 0.0000
0.0000 4.3640 0.0000
0.0000 0.0000 4.3640
Mn Co O
1 3 1
Cartesian
0.0000 0.0000 0.0000
2.1820 0.0000 0.0000
0.0000 2.1820 0.0000
0.0000 0.0000 2.1820
2.1820 2.1820 2.1820
```